## NaVAgO3 (PBE+U)

Data for a geometry-optimized NaVAgO3 structure.

Lattice parameters (Å, degrees): 5.9963 5.9963 7.6527 60.67 60.67 69.81
Positions (direct):
Na: 0.6819 0.6819 0.0471
Na: 0.3181 0.3181 0.9529
V: 0.0684 0.0684 0.7851
V: 0.9316 0.9316 0.2149
Ag: 0.2232 0.7768 0.5000
Ag: 0.7768 0.2232 0.5000
O: 0.2809 0.2809 0.6691
O: 0.1720 0.7468 0.8157
O: 0.7468 0.1720 0.8157
O: 0.2532 0.8280 0.1843
O: 0.8280 0.2532 0.1843
O: 0.7191 0.7191 0.3309

Properties
- volume (Å³ per atom) = 17.26
- electronic total energy (eV/f.u.) = -34.21